[1]
Entry from Alexandria via LeMat-Bulk: a relaxed LaCo2Cl crystal (PBE-GGA).

Cell: 3.9438 3.9438 6.6263 Å, 90.00 90.00 120.00°
Atoms (fractional coordinates):
La1 0.0000 0.0000 0.0000
Co1 0.3333 0.6667 0.2605
Co2 0.6667 0.3333 0.3361
Cl1 0.6667 0.3333 0.7020

## Properties
Formation energy without anion corrections, kJ/mol of atoms: -37.2
SG: P3m1, No. 156
Polymorph energy (0 for the lowest one), kJ/mol of atoms: 0.0

---

[2]
Entry from Alexandria via LeMat-Bulk: a relaxed La2CoCl crystal (PBE-GGA).

Cell: 6.6971 6.6971 6.6971 Å, 113.86 113.86 101.01°
Atoms (fractional coordinates):
La1 0.0770 0.6250 0.9520
La2 0.3750 0.3270 0.4520
La3 0.6730 0.1250 0.0480
La4 0.8750 0.9230 0.5480
Co1 0.0000 0.0000 0.0000
Co2 0.7500 0.2500 0.5000
Cl1 0.2500 0.7500 0.5000
Cl2 0.5000 0.5000 0.0000

## Properties
Formation energy without anion corrections, kJ/mol of atoms: -61.4
SG: I-42d, No. 122
Polymorph energy (0 for the lowest one), kJ/mol of atoms: 29.0

---

[3]
Entry from Alexandria via LeMat-Bulk: a relaxed La8CoN3Cl4 crystal (PBE-GGA).

Cell: 7.6682 7.6682 8.5267 Å, 116.73 116.73 59.71°
Atoms (fractional coordinates):
La1 0.2141 0.7408 0.6950
La2 0.2307 0.2307 0.6925
La3 0.2574 0.2574 0.3047
La4 0.2592 0.7859 0.3050
La5 0.7408 0.2141 0.6950
La6 0.7426 0.7426 0.6953
La7 0.7693 0.7693 0.3075
La8 0.7859 0.2592 0.3050
Co1 0.5000 0.5000 0.5000
N1 0.0000 0.0000 0.5000
N2 0.0000 0.5000 0.5000
N3 0.5000 0.0000 0.5000
Cl1 0.0000 0.0000 0.0000
Cl2 0.0000 0.5000 0.0000
Cl3 0.5000 0.0000 0.0000
Cl4 0.5000 0.5000 0.0000

## Properties
Formation energy without anion corrections, kJ/mol of atoms: -134.2
SG: C2/m, No. 12

---

[4]
Entry from Alexandria via LeMat-Bulk: a relaxed La4CoNCl2 crystal (PBE-GGA).

Cell: 7.0340 3.7605 7.8346 Å, 90.00 108.74 90.00°
Atoms (fractional coordinates):
La1 0.2033 0.0000 0.1972
La2 0.2681 0.5000 0.8039
La3 0.7319 0.5000 0.1961
La4 0.7967 0.0000 0.8028
Co1 0.5000 0.0000 0.0000
N1 0.0000 0.5000 0.0000
Cl1 0.0000 0.0000 0.5000
Cl2 0.5000 0.5000 0.5000

## Properties
Formation energy without anion corrections, kJ/mol of atoms: -117.1
SG: P2/m, No. 10